(1)
A PBEsol-optimized structure of Te2AsCl, computed with SCAN.

Calculated values
energy above the most stable polymorph in this dataset = 283 meV per atom
ΔE_f (raw) = 232 meV per atom

Cell and atoms, written as CIF:
```
data_Te2AsCl
_chemical_formula_sum 'Te2 As1 Cl1'
_space_group_name_H-M_alt 'P 4 m m'
_space_group_IT_number 99
_cell_length_a 3.1409
_cell_length_b 3.1409
_cell_length_c 10.2907
_cell_angle_alpha 90.00
_cell_angle_beta 90.00
_cell_angle_gamma 90.00
loop_
_space_group_symop_operation_xyz
'x,y,z'
'-y,x,z'
'-x,-y,z'
'y,-x,z'
'-x,y,z'
'y,x,z'
'x,-y,z'
'-y,-x,z'
loop_
_atom_site_label
_atom_site_fract_x
_atom_site_fract_y
_atom_site_fract_z
Te1 0.0000 0.0000 0.0000
Te2 0.5000 0.5000 0.3204
As1 0.0000 0.0000 0.5192
Cl1 0.5000 0.5000 0.6850
```

(2)
A PBEsol-optimized structure of Te2AsCl, computed with SCAN.

Calculated values
energy above the most stable polymorph in this dataset = 0 meV per atom
ΔE_f (raw) = -51 meV per atom

Cell and atoms, written as CIF:
```
data_Te2AsCl
_chemical_formula_sum 'Te4 As2 Cl2'
_space_group_name_H-M_alt 'C 1 2/m 1'
_space_group_IT_number 12
_cell_length_a 6.7857
_cell_length_b 3.7088
_cell_length_c 8.3373
_cell_angle_alpha 90.00
_cell_angle_beta 92.82
_cell_angle_gamma 90.00
loop_
_space_group_symop_operation_xyz
'x,y,z'
'-x,-y,-z'
'-x,y,-z'
'x,-y,z'
'x+1/2,y+1/2,z'
'-x+1/2,-y+1/2,-z'
'-x+1/2,y+1/2,-z'
'x+1/2,-y+1/2,z'
loop_
_atom_site_label
_atom_site_fract_x
_atom_site_fract_y
_atom_site_fract_z
Te1 0.1898 0.0000 0.2174
As1 0.0000 0.5000 0.0000
Cl1 0.0000 0.0000 0.5000
```

(3)
A PBEsol-optimized structure of TeAsCl2, computed with SCAN.

Calculated values
energy above the most stable polymorph in this dataset = 308 meV per atom
ΔE_f (raw) = 321 meV per atom

Cell and atoms, written as CIF:
```
data_TeAsCl2
_chemical_formula_sum 'Te2 As2 Cl4'
_space_group_name_H-M_alt 'I 4/m m m'
_space_group_IT_number 139
_space_group_name_Hall '-I 4 2'
_cell_length_a 4.3118
_cell_length_b 4.3118
_cell_length_c 8.8827
_cell_angle_alpha 90.00
_cell_angle_beta 90.00
_cell_angle_gamma 90.00
loop_
_atom_site_label
_atom_site_fract_x
_atom_site_fract_y
_atom_site_fract_z
Te1 0.0000 0.0000 0.0000
As1 0.0000 0.0000 0.5000
Cl1 0.0000 0.5000 0.2500
```

(4)
A PBEsol-optimized structure of TiAsCl3, computed with SCAN.

Calculated values
ΔE_f (raw) = -720 meV per atom

Cell and atoms, written as CIF:
```
data_TiAsCl3
_chemical_formula_sum 'Ti1 As1 Cl3'
_space_group_name_H-M_alt 'P m -3 m'
_space_group_IT_number 221
_space_group_name_Hall '-P 4 2 3'
_cell_length_a 4.8302
_cell_length_b 4.8302
_cell_length_c 4.8302
_cell_angle_alpha 90.00
_cell_angle_beta 90.00
_cell_angle_gamma 90.00
loop_
_atom_site_label
_atom_site_fract_x
_atom_site_fract_y
_atom_site_fract_z
Ti1 0.0000 0.0000 0.0000
As1 0.5000 0.5000 0.5000
Cl1 0.0000 0.0000 0.5000
```

(5)
A PBEsol-optimized structure of TiAs2Cl, computed with SCAN.

Calculated values
ΔE_f (raw) = -272 meV per atom

Cell and atoms, written as CIF:
```
data_TiAs2Cl
_chemical_formula_sum 'Ti4 As8 Cl4'
_space_group_name_H-M_alt 'I -4 2 d'
_space_group_IT_number 122
_space_group_name_Hall 'I -4 2bw'
_cell_length_a 3.7540
_cell_length_b 3.7540
_cell_length_c 20.8298
_cell_angle_alpha 90.00
_cell_angle_beta 90.00
_cell_angle_gamma 90.00
loop_
_atom_site_label
_atom_site_fract_x
_atom_site_fract_y
_atom_site_fract_z
Ti1 0.0000 0.0000 0.0000
As1 0.2074 0.2500 0.1250
Cl1 0.0000 0.0000 0.5000
```

(6)
A PBEsol-optimized structure of TlAsCl2, computed with SCAN.

Calculated values
energy above the most stable polymorph in this dataset = 0 meV per atom
ΔE_f (raw) = -382 meV per atom

Cell and atoms, written as CIF:
```
data_TlAsCl2
_chemical_formula_sum 'Tl1 As1 Cl2'
_space_group_name_H-M_alt 'P 1 2/m 1'
_space_group_IT_number 10
_cell_length_a 4.7343
_cell_length_b 3.6102
_cell_length_c 6.4269
_cell_angle_alpha 90.00
_cell_angle_beta 111.11
_cell_angle_gamma 90.00
loop_
_space_group_symop_operation_xyz
'x,y,z'
'-x,-y,-z'
'-x,y,-z'
'x,-y,z'
loop_
_atom_site_label
_atom_site_fract_x
_atom_site_fract_y
_atom_site_fract_z
Tl1 0.0000 0.0000 0.0000
As1 0.5000 0.0000 0.5000
Cl1 0.3439 0.5000 0.7155
```

(7)
A PBEsol-optimized structure of TlAsCl2, computed with SCAN.

Calculated values
energy above the most stable polymorph in this dataset = 276 meV per atom
ΔE_f (raw) = -106 meV per atom

Cell and atoms, written as CIF:
```
data_TlAsCl2
_chemical_formula_sum 'Tl2 As2 Cl4'
_space_group_name_H-M_alt 'I -4 m 2'
_space_group_IT_number 119
_space_group_name_Hall 'I -4 -2'
_cell_length_a 4.0350
_cell_length_b 4.0350
_cell_length_c 11.9371
_cell_angle_alpha 90.00
_cell_angle_beta 90.00
_cell_angle_gamma 90.00
loop_
_atom_site_label
_atom_site_fract_x
_atom_site_fract_y
_atom_site_fract_z
Tl1 0.0000 0.0000 0.0000
As1 0.0000 0.5000 0.2500
Cl1 0.0000 0.0000 0.5000
Cl2 0.0000 0.5000 0.7500
```

(8)
A PBEsol-optimized structure of YAsCl2, computed with SCAN.

Calculated values
energy above the most stable polymorph in this dataset = 85 meV per atom
ΔE_f (raw) = -1395 meV per atom

Cell and atoms, written as CIF:
```
data_YAsCl2
_chemical_formula_sum 'Y2 As2 Cl4'
_space_group_name_H-M_alt 'C 1 m 1'
_space_group_IT_number 8
_cell_length_a 9.9476
_cell_length_b 3.8318
_cell_length_c 6.0162
_cell_angle_alpha 90.00
_cell_angle_beta 103.11
_cell_angle_gamma 90.00
loop_
_space_group_symop_operation_xyz
'x,y,z'
'x,-y,z'
'x+1/2,y+1/2,z'
'x+1/2,-y+1/2,z'
loop_
_atom_site_label
_atom_site_fract_x
_atom_site_fract_y
_atom_site_fract_z
Y1 0.0000 0.0000 0.0000
As1 0.2876 0.0000 0.9495
Cl1 0.1370 0.5000 0.2762
Cl2 0.4209 0.0000 0.6641
```

(9)
A PBEsol-optimized structure of YAsCl2, computed with SCAN.

Calculated values
energy above the most stable polymorph in this dataset = 408 meV per atom
ΔE_f (raw) = -1072 meV per atom

Cell and atoms, written as CIF:
```
data_YAsCl2
_chemical_formula_sum 'Y3 As3 Cl6'
_space_group_name_H-M_alt 'R -3 m'
_space_group_IT_number 166
_space_group_name_Hall '-R 3 2"'
_cell_length_a 3.4105
_cell_length_b 3.4105
_cell_length_c 29.4937
_cell_angle_alpha 90.00
_cell_angle_beta 90.00
_cell_angle_gamma 120.00
loop_
_atom_site_label
_atom_site_fract_x
_atom_site_fract_y
_atom_site_fract_z
Y1 0.0000 0.0000 0.0000
As1 0.0000 0.0000 0.5000
Cl1 0.0000 0.0000 0.2733
```

(10)
A PBEsol-optimized structure of YAsCl2, computed with SCAN.

Calculated values
energy above the most stable polymorph in this dataset = 0 meV per atom
ΔE_f (raw) = -1480 meV per atom

Cell and atoms, written as CIF:
```
data_YAsCl2
_chemical_formula_sum 'Y2 As2 Cl4'
_space_group_name_H-M_alt 'C 1 2/m 1'
_space_group_IT_number 12
_cell_length_a 12.7218
_cell_length_b 3.7090
_cell_length_c 4.4952
_cell_angle_alpha 90.00
_cell_angle_beta 97.13
_cell_angle_gamma 90.00
loop_
_space_group_symop_operation_xyz
'x,y,z'
'-x,-y,-z'
'-x,y,-z'
'x,-y,z'
'x+1/2,y+1/2,z'
'-x+1/2,-y+1/2,-z'
'-x+1/2,y+1/2,-z'
'x+1/2,-y+1/2,z'
loop_
_atom_site_label
_atom_site_fract_x
_atom_site_fract_y
_atom_site_fract_z
Y1 0.0000 0.0000 0.0000
As1 0.0000 0.5000 0.5000
Cl1 0.1578 0.5000 0.2094
```

(11)
A PBEsol-optimized structure of YAsCl2, computed with SCAN.

Calculated values
energy above the most stable polymorph in this dataset = 396 meV per atom
ΔE_f (raw) = -1084 meV per atom

Cell and atoms, written as CIF:
```
data_YAsCl2
_chemical_formula_sum 'Y2 As2 Cl4'
_space_group_name_H-M_alt 'I 4/m m m'
_space_group_IT_number 139
_space_group_name_Hall '-I 4 2'
_cell_length_a 4.3071
_cell_length_b 4.3071
_cell_length_c 8.8277
_cell_angle_alpha 90.00
_cell_angle_beta 90.00
_cell_angle_gamma 90.00
loop_
_atom_site_label
_atom_site_fract_x
_atom_site_fract_y
_atom_site_fract_z
Y1 0.0000 0.0000 0.0000
As1 0.0000 0.0000 0.5000
Cl1 0.0000 0.5000 0.2500
```

(12)
A PBEsol-optimized structure of YAs4Cl, computed with SCAN.

Calculated values
ΔE_f (raw) = -418 meV per atom

Cell and atoms, written as CIF:
```
data_YAs4Cl
_chemical_formula_sum 'Y4 As16 Cl4'
_space_group_name_H-M_alt 'F -4 3 m'
_space_group_IT_number 216
_space_group_name_Hall 'F -4 2 3'
_cell_length_a 7.8503
_cell_length_b 7.8503
_cell_length_c 7.8503
_cell_angle_alpha 90.00
_cell_angle_beta 90.00
_cell_angle_gamma 90.00
loop_
_atom_site_label
_atom_site_fract_x
_atom_site_fract_y
_atom_site_fract_z
Y1 0.0000 0.0000 0.0000
As1 0.1222 0.1222 0.3778
Cl1 0.2500 0.2500 0.7500
```